The following is a DFT calculation (SCAN) of a crystal of LiMg2Ag relaxed with PBEsol.

Properties
Its spin magnetization is 0.00 μB per cell. The formation enthalpy at 0 K is -204.3 meV per atom.

Cell and atoms, written as CIF:
```
data_LiMg2Ag
_cell_length_a 4.6681
_cell_length_b 4.6681
_cell_length_c 3.3099
_cell_angle_alpha 90.00
_cell_angle_beta 90.00
_cell_angle_gamma 90.00
_symmetry_space_group_name_H-M 'P 4/m m m'
_symmetry_Int_Tables_number 123
_symmetry_space_group_name_Hall '-P 4 2'
loop_
_atom_site_label
_atom_site_fract_x
_atom_site_fract_y
_atom_site_fract_z
Li1 0.0000 0.0000 0.0000
Mg1 0.0000 0.5000 0.5000
Ag1 0.5000 0.5000 0.0000
```